1.
The following is a PBE calculation of crystalline CaThAg3 at its relaxed geometry, from Alexandria via LeMat-Bulk.

Cell: 3.5248 28.7503 4.8532 Å, 90.00 90.00 90.00°
Closest atoms and distances in Å follow each position.
Space group Cmcm (No. 63)
Unique sites:
1 Ca 0.0000 0.2087 0.2500 x4  7 Ag 3.09-3.36
2 Th 0.0000 0.0731 0.7500 x4  12 Ag 3.29-3.40, 2 Th 3.52
3 Ag 0.0000 0.3257 0.2500 x4  2 Ag 2.88, 4 Ca 3.16
4 Ag 0.0000 0.3797 0.7500 x4  3 Ag 2.78-2.88, 2 Ca 3.09
5 Ag 0.0000 0.4764 0.7500 x4  3 Ag 2.78

Calculated values
DFT total energy	-75.4	eV per cell
DOS at the Fermi energy	0.806	states/eV per atom
E_form	-0.86	eV/f.u.

***

2.
The following is a PBE calculation of crystalline CaThAg4 at its relaxed geometry, from Alexandria via LeMat-Bulk.

Cell: 3.4688 4.9012 8.2943 Å, 90.00 90.00 90.00°
Closest atoms and distances in Å follow each position.
Space group Pmmm (No. 47)
Unique sites:
1 Ca 0.0000 0.0000 0.0000 x1  12 Ag 3.25-3.31, 2 Ca 3.47
2 Th 0.0000 0.5000 0.5000 x1  12 Ag 3.26-3.31, 2 Th 3.47
3 Ag 0.5000 0.0000 0.3308 x2  3 Ag 2.80-2.81
4 Ag 0.5000 0.5000 0.1671 x2  3 Ag 2.77-2.80

Calculated values
DFT total energy	-21.9	eV per cell
energy relative to the lowest polymorph listed for this composition	0.00	kJ per mole of atoms
DOS at the Fermi energy	0.775	states/eV per atom
E_form	-1.07	eV/f.u.

***

3.
The following is a PBE calculation of crystalline Ca4ThAg5 at its relaxed geometry, from Alexandria via LeMat-Bulk.

Cell: 3.6808 3.6808 18.9479 Å, 90.00 90.00 90.00°
Closest atoms and distances in Å follow each position.
Space group P4/mmm (No. 123)
Unique sites:
1 Ca 0.0000 0.0000 0.0980 x2  8 Ag 3.20
2 Ca 0.0000 0.0000 0.2964 x2  8 Ag 3.22-3.23
3 Th 0.0000 0.0000 0.5000 x1  8 Ag 3.25
4 Ag 0.5000 0.5000 0.0000 x1  8 Ca 3.20
5 Ag 0.5000 0.5000 0.1965 x2  8 Ca 3.20-3.22
6 Ag 0.5000 0.5000 0.3969 x2  4 Ca 3.23, 4 Th 3.25

Calculated values
DFT total energy	-32.2	eV per cell
DOS at the Fermi energy	0.861	states/eV per atom
E_form	-2.51	eV/f.u.

***

4.
The following is a PBE calculation of crystalline CaThAg2 at its relaxed geometry, from Alexandria via LeMat-Bulk.

Cell: 3.6348 3.6348 7.8076 Å, 90.00 90.00 90.00°
Closest atoms and distances in Å follow each position.
Space group P4/mmm (No. 123)
Unique sites:
1 Ca 0.0000 0.0000 0.0000 x1  8 Ag 3.21
2 Th 0.0000 0.0000 0.5000 x1  8 Ag 3.24
3 Ag 0.5000 0.5000 0.2469 x2  4 Ca 3.21, 4 Th 3.24

Calculated values
DFT total energy	-15.8	eV per cell
DOS at the Fermi energy	0.626	states/eV per atom
E_form	-0.67	eV/f.u.

***

5.
The following is a PBE calculation of crystalline CaThAg4 at its relaxed geometry, from Alexandria via LeMat-Bulk.

Cell: 8.1598 8.1598 8.1598 Å, 90.00 90.00 90.00°
Closest atoms and distances in Å follow each position.
Space group F-43m (No. 216)
Unique sites:
1 Ca 0.0000 0.0000 0.0000 x4  12 Ag 3.38, 4 Th 3.53
2 Th 0.2500 0.2500 0.7500 x4  12 Ag 3.38, 4 Ca 3.53
3 Ag 0.1256 0.1256 0.3744 x16  6 Ag 2.87-2.90

Calculated values
DFT total energy	-85.3	eV per cell
energy relative to the lowest polymorph listed for this composition	8.95	kJ per mole of atoms
DOS at the Fermi energy	0.601	states/eV per atom
E_form	-0.51	eV/f.u.

***

6.
The following is a PBE calculation of crystalline CaThTlAg at its relaxed geometry, from Alexandria via LeMat-Bulk.

Cell: 7.6263 7.6263 7.6263 Å, 90.00 90.00 90.00°
Closest atoms and distances in Å follow each position.
Space group F-43m (No. 216)
Unique sites:
1 Ca 0.0000 0.0000 0.0000 x4  4 Tl 3.30, 4 Ag 3.30
2 Th 0.0000 0.0000 0.5000 x4  4 Tl 3.30, 4 Ag 3.30
3 Tl 0.2500 0.2500 0.7500 x4  4 Th 3.30, 4 Ca 3.30
4 Ag 0.2500 0.2500 0.2500 x4  4 Th 3.30, 4 Ca 3.30

Calculated values
DFT total energy	-61.6	eV per cell
DOS at the Fermi energy	0.464	states/eV per atom
E_form	-0.76	eV/f.u.

***

7.
The following is a PBE calculation of crystalline CaThZnAg at its relaxed geometry, from Alexandria via LeMat-Bulk.

Cell: 7.3911 7.3911 7.3911 Å, 90.00 90.00 90.00°
Closest atoms and distances in Å follow each position.
Space group F-43m (No. 216)
Unique sites:
1 Ca 0.0000 0.0000 0.0000 x4  4 Zn 3.20, 4 Ag 3.20
2 Th 0.0000 0.0000 0.5000 x4  4 Zn 3.20, 4 Ag 3.20
3 Zn 0.2500 0.2500 0.7500 x4  4 Th 3.20, 4 Ca 3.20
4 Ag 0.2500 0.2500 0.2500 x4  4 Th 3.20, 4 Ca 3.20

Calculated values
DFT total energy	-56.6	eV per cell
DOS at the Fermi energy	0.674	states/eV per atom
E_form	-0.59	eV/f.u.

***

8.
The following is a PBE calculation of crystalline CaTi2Ag2 at its relaxed geometry, from Alexandria via LeMat-Bulk.

Cell: 8.2251 8.2251 2.9968 Å, 90.00 90.00 90.00°
Closest atoms and distances in Å follow each position.
Space group P4/mbm (No. 127)
Unique sites:
1 Ca 0.0000 0.0000 0.0000 x2  2 Ca 3.00, 4 Ag 3.22
2 Ti 0.1621 0.3379 0.5000 x4  6 Ag 2.84-2.85, 2 Ti 3.00
3 Ag 0.1303 0.6303 0.0000 x4  6 Ti 2.84-2.85, 3 Ag 3.00-3.03

Calculated values
DFT total energy	-44.6	eV per cell
energy relative to the lowest polymorph listed for this composition	9.18	kJ per mole of atoms
DOS at the Fermi energy	1.665	states/eV per atom
E_form	1.22	eV/f.u.

***

9.
The following is a PBE calculation of crystalline CaTi3Ag at its relaxed geometry, from Alexandria via LeMat-Bulk.

Cell: 4.7069 4.7069 4.7069 Å, 90.00 90.00 90.00°
Closest atoms and distances in Å follow each position.
Space group Pm-3m (No. 221)
Unique sites:
1 Ca 0.0000 0.0000 0.0000 x1  6 Ti 2.35
2 Ti 0.0000 0.0000 0.5000 x3  2 Ca 2.35
3 Ag 0.5000 0.5000 0.5000 x1  12 Ti 3.33

Calculated values
DFT total energy	-20.0	eV per cell
energy relative to the lowest polymorph listed for this composition	77.62	kJ per mole of atoms
DOS at the Fermi energy	2.240	states/eV per atom
E_form	8.57	eV/f.u.

***

10.
The following is a PBE calculation of crystalline Ca2TiAg at its relaxed geometry, from Alexandria via LeMat-Bulk.

Cell: 8.4148 8.4148 6.3639 Å, 90.00 90.00 90.00°
Closest atoms and distances in Å follow each position.
Space group I-42d (No. 122)
Unique sites:
1 Ca 0.2168 0.2500 0.1250 x8  2 Ag 2.90, 2 Ca 3.23
2 Ti 0.0000 0.0000 0.5000 x4  2 Ag 3.18, 4 Ca 3.28
3 Ag 0.0000 0.0000 0.0000 x4  4 Ca 2.90, 2 Ti 3.18

Calculated values
DFT total energy	-51.4	eV per cell
energy relative to the lowest polymorph listed for this composition	13.69	kJ per mole of atoms
DOS at the Fermi energy	1.190	states/eV per atom
E_form	1.90	eV/f.u.

***

11.
The following is a PBE calculation of crystalline CaTiAg2 at its relaxed geometry, from Alexandria via LeMat-Bulk.

Cell: 6.9495 6.9495 6.9495 Å, 90.00 90.00 90.00°
Closest atoms and distances in Å follow each position.
Space group Fm-3m (No. 225)
Unique sites:
1 Ca 0.0000 0.0000 0.0000 x4  8 Ag 3.01
2 Ti 0.0000 0.0000 0.5000 x4  8 Ag 3.01
3 Ag 0.2500 0.2500 0.2500 x8  4 Ca 3.01, 4 Ti 3.01

Calculated values
DFT total energy	-60.7	eV per cell
energy relative to the lowest polymorph listed for this composition	11.86	kJ per mole of atoms
DOS at the Fermi energy	0.778	states/eV per atom
E_form	0.42	eV/f.u.

***

12.
The following is a PBE calculation of crystalline CaTiAg2 at its relaxed geometry, from Alexandria via LeMat-Bulk.

Cell: 3.4141 3.4141 7.2364 Å, 90.00 90.00 90.00°
Closest atoms and distances in Å follow each position.
Space group P4/mmm (No. 123)
Unique sites:
1 Ca 0.0000 0.0000 0.0000 x1  8 Ag 3.21, 4 Ca 3.41
2 Ti 0.0000 0.0000 0.5000 x1  8 Ag 2.85
3 Ag 0.5000 0.5000 0.2916 x2  4 Ti 2.85, 1 Ag 3.02

Calculated values
DFT total energy	-15.7	eV per cell
energy relative to the lowest polymorph listed for this composition	0.00	kJ per mole of atoms
DOS at the Fermi energy	0.907	states/eV per atom
E_form	-0.07	eV/f.u.

***

13.
The following is a PBE calculation of crystalline CaTiAg2 at its relaxed geometry, from Alexandria via LeMat-Bulk.

Cell: 7.8162 7.8162 6.0615 Å, 90.00 90.00 90.00°
Closest atoms and distances in Å follow each position.
Space group I-42d (No. 122)
Unique sites:
1 Ca 0.0000 0.0000 0.0000 x4  4 Ag 3.03, 2 Ti 3.03
2 Ti 0.0000 0.0000 0.5000 x4  4 Ag 2.71, 2 Ca 3.03
3 Ag 0.2200 0.2500 0.6250 x8  2 Ti 2.71, 2 Ca 3.03

Calculated values
DFT total energy	-56.8	eV per cell
energy relative to the lowest polymorph listed for this composition	35.51	kJ per mole of atoms
DOS at the Fermi energy	1.116	states/eV per atom
E_form	1.40	eV/f.u.

***

14.
The following is a PBE calculation of crystalline Ca2TiAg at its relaxed geometry, from Alexandria via LeMat-Bulk.

Cell: 7.5702 7.5702 7.5702 Å, 90.00 90.00 90.00°
Closest atoms and distances in Å follow each position.
Space group Fm-3m (No. 225)
Unique sites:
1 Ca 0.2500 0.2500 0.2500 x8  4 Ti 3.28, 4 Ag 3.28
2 Ti 0.0000 0.0000 0.0000 x4  8 Ca 3.28
3 Ag 0.0000 0.0000 0.5000 x4  8 Ca 3.28

Calculated values
DFT total energy	-53.7	eV per cell
energy relative to the lowest polymorph listed for this composition	0.00	kJ per mole of atoms
DOS at the Fermi energy	1.683	states/eV per atom
E_form	1.34	eV/f.u.

***

15.
The following is a PBE calculation of crystalline CaTi3Ag at its relaxed geometry, from Alexandria via LeMat-Bulk.

Cell: 5.0078 5.0078 5.0078 Å, 90.00 90.00 90.00°
Closest atoms and distances in Å follow each position.
Space group Pm-3m (No. 221)
Unique sites:
1 Ca 0.0000 0.0000 0.0000 x1  12 Ti 3.54
2 Ti 0.0000 0.5000 0.5000 x3  2 Ag 2.50
3 Ag 0.5000 0.5000 0.5000 x1  6 Ti 2.50

Calculated values
DFT total energy	-24.0	eV per cell
energy relative to the lowest polymorph listed for this composition	0.00	kJ per mole of atoms
DOS at the Fermi energy	1.537	states/eV per atom
E_form	4.54	eV/f.u.

***

16.
The following is a PBE calculation of crystalline CaTi2Ag2 at its relaxed geometry, from Alexandria via LeMat-Bulk.

Cell: 8.1908 8.1908 3.0300 Å, 90.00 90.00 90.00°
Closest atoms and distances in Å follow each position.
Space group P4/mbm (No. 127)
Unique sites:
1 Ca 0.0000 0.0000 0.0000 x2  2 Ca 3.03, 4 Ti 3.32, 8 Ag 3.36
2 Ti 0.1106 0.3894 0.0000 x4  1 Ti 2.56, 2 Ag 2.84
3 Ag 0.1819 0.6819 0.5000 x4  6 Ti 2.84-2.89, 2 Ag 3.03

Calculated values
DFT total energy	-45.5	eV per cell
energy relative to the lowest polymorph listed for this composition	0.00	kJ per mole of atoms
DOS at the Fermi energy	0.895	states/eV per atom
E_form	0.74	eV/f.u.

***

17.
The following is a PBE calculation of crystalline Ca4Tl3Ag4 at its relaxed geometry, from Alexandria via LeMat-Bulk.

Cell: 3.6218 4.7285 16.8373 Å, 98.02 90.01 90.00°
Closest atoms and distances in Å follow each position.
Space group P-1 (No. 2)
Unique sites:
1 Ca 0.0003 0.0550 0.1095 x2  4 Ag 3.23, 6 Tl 3.38-3.49
2 Ca 0.0004 0.3104 0.6205 x2  6 Ag 3.23-3.30, 4 Tl 3.40
3 Tl 0.4990 0.1403 0.2809 x2  3 Ag 2.86-2.90
4 Tl 0.5000 0.5000 0.0000 x1  2 Ag 3.07
5 Ag 0.4993 0.4077 0.8158 x2  3 Tl 2.86-3.07
6 Ag 0.5001 0.2278 0.4551 x2  2 Ag 2.80, 1 Tl 2.90

Calculated values
DFT total energy	-29.8	eV per cell
DOS at the Fermi energy	0.420	states/eV per atom
E_form	-3.31	eV/f.u.

***

18.
The following is a PBE calculation of crystalline Ca4Tl2Ag at its relaxed geometry, from Alexandria via LeMat-Bulk.

Cell: 5.7048 5.7048 15.5674 Å, 90.00 90.00 90.00°
Closest atoms and distances in Å follow each position.
Space group I4/mmm (No. 139)
Unique sites:
1 Ca 0.0000 0.0000 0.1916 x4  1 Ag 2.98, 1 Tl 3.12
2 Ca 0.0000 0.5000 0.0000 x4  2 Ag 2.85
3 Tl 0.0000 0.0000 0.3920 x4  5 Ca 3.12-3.31, 1 Tl 3.36
4 Ag 0.0000 0.0000 0.0000 x2  6 Ca 2.85-2.98

Calculated values
DFT total energy	-33.1	eV per cell
energy relative to the lowest polymorph listed for this composition	14.88	kJ per mole of atoms
DOS at the Fermi energy	0.612	states/eV per atom
E_form	-0.96	eV/f.u.

***

19.
The following is a PBE calculation of crystalline Ca5Tl4Ag at its relaxed geometry, from Alexandria via LeMat-Bulk.

Cell: 3.8715 3.8715 19.1485 Å, 90.00 90.00 90.00°
Closest atoms and distances in Å follow each position.
Space group P4/mmm (No. 123)
Unique sites:
1 Ca 0.0000 0.0000 0.0000 x1  8 Tl 3.37
2 Ca 0.0000 0.0000 0.2032 x2  8 Tl 3.34
3 Ca 0.0000 0.0000 0.4061 x2  4 Ag 3.28, 4 Tl 3.37, 1 Ca 3.60
4 Tl 0.5000 0.5000 0.1031 x2  8 Ca 3.34-3.37
5 Tl 0.5000 0.5000 0.3030 x2  8 Ca 3.34-3.37
6 Ag 0.5000 0.5000 0.5000 x1  8 Ca 3.28

Calculated values
DFT total energy	-26.4	eV per cell
DOS at the Fermi energy	0.847	states/eV per atom
E_form	-4.05	eV/f.u.

***

20.
The following is a PBE calculation of crystalline Ca3TlAg2 at its relaxed geometry, from Alexandria via LeMat-Bulk.

Cell: 5.3411 5.3411 12.9960 Å, 90.00 90.00 120.00°
Closest atoms and distances in Å follow each position.
Space group P-3m1 (No. 164)
Unique sites:
1 Ca 0.0000 0.0000 0.2447 x2  5 Ag 3.18-3.32, 3 Tl 3.28
2 Ca 0.3333 0.6667 0.4165 x2  4 Ag 3.24-3.27, 4 Tl 3.28-3.29
3 Ca 0.3333 0.6667 0.9210 x2  7 Ag 3.20-3.29, 1 Tl 3.27
4 Tl 0.3333 0.6667 0.6693 x2  8 Ca 3.27-3.29
5 Ag 0.0000 0.0000 0.0000 x1  8 Ca 3.18-3.25
6 Ag 0.0000 0.0000 0.5000 x1  8 Ca 3.27-3.32
7 Ag 0.3333 0.6667 0.1671 x2  8 Ca 3.20-3.29

Calculated values
DFT total energy	-32.3	eV per cell
energy relative to the lowest polymorph listed for this composition	0.34	kJ per mole of atoms
DOS at the Fermi energy	0.786	states/eV per atom
E_form	-2.06	eV/f.u.

***

| no. | size of the total moment (μB/atom) |
| --- | --- |
| 1 | 0.0002 |
| 2 | 0.0000 |
| 3 | 0.0000 |
| 4 | 0.0000 |
| 5 | 0.0000 |
| 6 | 0.0000 |
| 7 | 0.0000 |
| 8 | 0.0002 |
| 9 | 0.5474 |
| 10 | 0.7182 |
| 11 | 0.0002 |
| 12 | 0.1895 |
| 13 | 0.5701 |
| 14 | 0.8758 |
| 15 | 0.2574 |
| 16 | 0.3059 |
| 17 | 0.0000 |
| 18 | 0.0000 |
| 19 | 0.0000 |
| 20 | 0.0000 |